{
  "formula": "KTcP2S",
  "functional": "PBE-GGA",
  "state": "optimized geometry",
  "crystal_system": "tetragonal",
  "final_energy_ev_per_atom": -5.27,
  "raw_formation_energy_ev_per_atom": 0.012,
  "relative_energy_mev_per_atom": 0,
  "lattice_angstrom": [[4.5739, 0.0000, 0.0000], [0.0000, 4.5739, 0.0000], [0.0000, 0.0000, 5.2900]],
  "species": ["S", "P", "P", "K", "Tc"],
  "fractional_positions": [[0.0000, 0.0000, 0.5000], [0.0000, 0.5000, 0.0000], [0.5000, 0.0000, 0.0000], [0.5000, 0.5000, 0.5000], [0.0000, 0.0000, 0.0000]]
}